1.
Compound: Pu2MoN4
Source: the Alexandria database
Functional: PBE-GGA
Structure: relaxed

Properties
total moment = 1.4286 μB per atom
energy relative to the elements, uncorrected = -75 kJ/mol of atoms
DFT total energy = -11.1732 eV per atom
volume = 15.3 Å³/atom
SG = P2_1/m

Cell: 5.946 5.795 6.568 Å, 90.00 108.30 90.00°
Each line ends with the local moment (μB).
Element x y z (fractional)
Pu (0.681, 0.750, 0.044)  4.87
Pu (0.319, 0.250, 0.956)  4.87
Pu (0.231, 0.250, 0.435)  4.96
Pu (0.769, 0.750, 0.565)  4.96
Mo (0.227, 0.750, 0.188)  0.36
Mo (0.773, 0.250, 0.812)  0.36
N (0.453, 0.505, 0.240)  -0.12
N (0.022, 0.750, 0.907)  -0.13
N (0.978, 0.250, 0.093)  -0.13
N (0.453, 0.995, 0.240)  -0.12
N (0.973, 0.250, 0.639)  -0.12
N (0.547, 0.005, 0.760)  -0.12
N (0.547, 0.495, 0.760)  -0.12
N (0.027, 0.750, 0.361)  -0.12

=====

2.
Compound: RbTcB2
Source: the Alexandria database
Functional: PBE-GGA
Structure: relaxed

Properties
ΔE to the lowest computed polymorph = 1.729 eV/atom
total moment = 0.4604 μB per atom
DFT total energy = -3.8519 eV per atom
volume = 15.8 Å³/atom
ΔH_f (0 K) = 2.320 eV per atom
SG = Fm-3m

Cell: 4.470 4.470 4.470 Å, 60.00 60.00 60.00°
Each line ends with the local moment (μB).
Element x y z (fractional)
B (0.250, 0.250, 0.250)  -0.07
B (0.750, 0.750, 0.750)  -0.07
Tc (0.500, 0.500, 0.500)  1.91
Rb (0.000, 0.000, 0.000)  0.01

=====

3.
Compound: Co2RuRhN
Source: the Alexandria database
Functional: PBE-GGA
Structure: relaxed

Properties
total moment = 0.8607 μB per atom
energy relative to the elements, uncorrected = 20 kJ/mol of atoms
DFT total energy = -7.6296 eV per atom
volume = 11.7 Å³/atom
SG = P4/mmm

Cell: 3.840 3.840 3.954 Å, 90.00 90.00 90.00°
Each line ends with the local moment (μB).
Element x y z (fractional)
Ru (0.000, 0.000, 0.500)  0.50
N (0.000, 0.000, 0.000)  0.01
Rh (0.500, 0.500, 0.500)  0.76
Co (0.000, 0.500, 0.000)  1.55
Co (0.500, 0.000, 0.000)  1.55

=====

4.
Compound: K4PuO6
Source: the Alexandria database
Functional: PBE-GGA
Structure: relaxed

Properties
total moment = 0.0000 μB per atom
energy relative to the elements, uncorrected = -186 kJ/mol of atoms
DFT total energy = -6.3382 eV per atom
volume = 19.2 Å³/atom
SG = R-3c

Cell: 7.506 7.506 7.506 Å, 91.15 91.15 88.85°
Element x y z (fractional)
K (0.398, 0.102, 0.250)
K (0.898, 0.250, 0.398)
K (0.250, 0.602, 0.102)
K (0.250, 0.250, 0.750)
K (0.750, 0.750, 0.250)
K (0.750, 0.398, 0.898)
K (0.102, 0.750, 0.602)
K (0.602, 0.898, 0.750)
Pu (0.500, 0.500, 0.500)
Pu (0.000, 0.000, 0.000)
O (0.749, 0.054, 0.065)
O (0.065, 0.251, 0.054)
O (0.565, 0.446, 0.249)
O (0.946, 0.065, 0.749)
O (0.554, 0.249, 0.565)
O (0.249, 0.435, 0.446)
O (0.751, 0.565, 0.554)
O (0.446, 0.751, 0.435)
O (0.054, 0.935, 0.251)
O (0.435, 0.554, 0.751)
O (0.935, 0.749, 0.946)
O (0.251, 0.946, 0.935)

=====

5.
Compound: InRe2Hg
Source: the Alexandria database
Functional: PBE-GGA
Structure: relaxed

Properties
ΔE to the lowest computed polymorph = 0.100 eV/atom
total moment = 0.0000 μB per atom
DFT total energy = -6.5883 eV per atom
volume = 18.6 Å³/atom
ΔH_f (0 K) = 0.396 eV per atom
SG = R3m

Cell: 10.344 10.344 10.344 Å, 16.14 16.14 16.14°
Element x y z (fractional)
Hg (0.508, 0.508, 0.508)
In (0.740, 0.740, 0.740)
Re (0.992, 0.992, 0.992)
Re (0.260, 0.260, 0.260)

=====

6.
Compound: YTa2
Source: the Alexandria database
Functional: PBE-GGA
Structure: relaxed

Properties
ΔE to the lowest computed polymorph = 1.015 eV/atom
total moment = 0.0991 μB per atom
DFT total energy = -8.7954 eV per atom
volume = 22.6 Å³/atom
ΔH_f (0 K) = 1.261 eV per atom
SG = I4/mcm

Cell: 5.646 5.646 5.646 Å, 104.99 104.99 118.86°
Each line ends with the local moment (μB).
Element x y z (fractional)
Y (0.250, 0.250, 0.000)  0.02
Y (0.750, 0.750, 0.000)  0.02
Ta (0.365, 0.135, 0.500)  0.10
Ta (0.865, 0.365, 0.231)  0.10
Ta (0.135, 0.635, 0.769)  0.10
Ta (0.635, 0.865, 0.500)  0.10

=====

7.
Compound: SrCuP2O7
Source: the Alexandria database
Functional: PBE-GGA
Structure: relaxed

Properties
total moment = 0.0878 μB per atom
energy relative to the elements, uncorrected = -213 kJ/mol of atoms
DFT total energy = -6.8720 eV per atom
volume = 12.9 Å³/atom
SG = P2_1/c

Cell: 8.202 5.512 13.648 Å, 67.21 90.00 90.00°
Each line ends with the local moment (μB).
Element x y z (fractional)
Sr (0.656, 0.992, 0.718)  0.00
Sr (0.156, 0.008, 0.782)  0.00
Sr (0.344, 0.008, 0.282)  0.00
Sr (0.844, 0.992, 0.218)  0.00
Cu (0.854, 0.328, 0.887)  0.62
Cu (0.354, 0.672, 0.613)  0.62
Cu (0.146, 0.672, 0.113)  0.62
Cu (0.646, 0.328, 0.387)  0.62
P (0.963, 0.595, 0.661)  0.00
P (0.463, 0.405, 0.839)  0.00
P (0.037, 0.405, 0.339)  0.00
P (0.537, 0.595, 0.161)  0.00
P (0.694, 0.670, 0.512)  0.00
P (0.194, 0.330, 0.988)  0.00
P (0.306, 0.330, 0.488)  0.00
P (0.806, 0.670, 0.012)  0.00
O (0.140, 0.518, 0.651)  0.06
O (0.640, 0.482, 0.849)  0.06
O (0.860, 0.482, 0.349)  0.06
O (0.360, 0.518, 0.151)  0.06
O (0.942, 0.821, 0.698)  0.00
O (0.442, 0.179, 0.802)  0.00
O (0.058, 0.179, 0.302)  0.00
O (0.558, 0.821, 0.198)  0.00
O (0.875, 0.338, 0.735)  0.08
O (0.375, 0.662, 0.765)  0.08
O (0.125, 0.662, 0.265)  0.08
O (0.625, 0.338, 0.235)  0.08
O (0.883, 0.683, 0.545)  0.02
O (0.383, 0.317, 0.955)  0.02
O (0.117, 0.317, 0.455)  0.02
O (0.617, 0.683, 0.045)  0.02
O (0.906, 0.727, 0.097)  0.07
O (0.406, 0.273, 0.403)  0.07
O (0.094, 0.273, 0.903)  0.07
O (0.594, 0.727, 0.597)  0.07
O (0.836, 0.381, 0.023)  0.08
O (0.336, 0.619, 0.477)  0.08
O (0.164, 0.619, 0.977)  0.08
O (0.664, 0.381, 0.523)  0.08
O (0.823, 0.877, 0.901)  0.00
O (0.323, 0.123, 0.599)  0.00
O (0.177, 0.123, 0.099)  0.00
O (0.677, 0.877, 0.401)  0.00

=====

8.
Compound: SmEr3Te6
Source: the Alexandria database
Functional: PBE-GGA
Structure: relaxed

Properties
ΔE to the lowest computed polymorph = 0.027 eV/atom
total moment = 0.0000 μB per atom
energy relative to the elements, uncorrected = -130 kJ/mol of atoms
DFT total energy = -5.0763 eV per atom
volume = 35.9 Å³/atom
SG = R3

Cell: 7.689 7.689 8.299 Å, 62.40 62.40 60.00°
Element x y z (fractional)
Sm (0.845, 0.845, 0.466)
Er (0.343, 0.343, 0.970)
Er (0.658, 0.658, 0.025)
Er (0.157, 0.157, 0.528)
Te (0.935, 0.555, 0.249)
Te (0.261, 0.935, 0.249)
Te (0.555, 0.261, 0.249)
Te (0.064, 0.430, 0.754)
Te (0.752, 0.064, 0.754)
Te (0.430, 0.752, 0.754)